CeHo3Er2Se6: optimized geometry, PBE.

```
12
Lattice="-1.126 1.197 -3.704 -7.589 -2.759 1.414 0.229 7.812 4.673" Properties=species:S:1:pos:R:3 pbc="T T T"
Se -5.092 1.830 -0.077
Er -5.887 4.400 0.995
Se -7.148 3.003 3.143
Er -2.598 1.851 1.388
Ce -0.563 0.599 -1.852
Ho -4.357 -0.781 -1.145
Ho -2.046 5.810 0.284
Se -3.392 4.421 2.460
Se -6.511 6.952 2.010
Ho -6.439 0.440 2.099
Se -1.337 3.248 -0.760
Se -1.974 -0.701 0.373
```

Results
**Raw total energy**: -5.87 eV per atom
**Formation energy (no corrections)**: -1732 meV/atom